1.
The following is a PBE calculation of Sb5Pt after structural relaxation, from Alexandria via LeMat-Bulk.

a = 7.0287 Å, b = 7.0287 Å, c = 3.8050 Å
α = 90.00°, β = 90.00°, γ = 120.00°
Space group P-62m (No. 189)
Inequivalent atoms, fractional coordinates:
Sb: 0.0000 0.7126 0.0000 [3 per cell]
Sb: 0.3333 0.6667 0.5000 [2 per cell]
Pt: 0.0000 0.0000 0.5000 [1 per cell]

Results
relative energy among the computed polymorphs = 0.89 eV/f.u.
crystal system = hexagonal
total magnetization = 0.000 μB/atom
DFT total energy = -4.406 eV/atom

2.
The following is a PBE calculation of AlMoAu4 after structural relaxation, from Alexandria via LeMat-Bulk.

a = 7.7126 Å, b = 7.7126 Å, c = 7.7126 Å
α = 90.00°, β = 90.00°, γ = 90.00°
Space group F-43m (No. 216)
Inequivalent atoms, fractional coordinates:
Al: 0.0000 0.0000 0.0000 [4 per cell]
Mo: 0.2500 0.2500 0.2500 [4 per cell]
Au: 0.1250 0.1250 0.6250 [16 per cell]

Results
crystal system = cubic
formation energy = 44.6 kJ/mol of atoms
total magnetization = 0.539 μB/atom
DFT total energy = -4.152 eV/atom

3.
The following is a PBE calculation of SrGa2Pt2 after structural relaxation, from Alexandria via LeMat-Bulk.

a = 7.9596 Å, b = 7.9596 Å, c = 2.8753 Å
α = 90.00°, β = 90.00°, γ = 90.00°
Space group P4/mbm (No. 127)
Inequivalent atoms, fractional coordinates:
Sr: 0.0000 0.0000 0.0000 [2 per cell]
Ga: 0.1231 0.3769 0.0000 [4 per cell]
Pt: 0.1721 0.6721 0.5000 [4 per cell]

Results
crystal system = tetragonal
formation energy = -55.1 kJ/mol of atoms
total magnetization = 0.000 μB/atom
DFT total energy = -4.534 eV/atom

4.
The following is a PBE calculation of In2SbS2 after structural relaxation, from Alexandria via LeMat-Bulk.

a = 7.6556 Å, b = 7.6556 Å, c = 11.0670 Å
α = 90.00°, β = 90.00°, γ = 90.00°
Space group I4_1md (No. 109)
Inequivalent atoms, fractional coordinates:
In: 0.0000 0.2710 0.0000 [8 per cell]
Sb: 0.0000 0.0000 0.1743 [4 per cell]
S: 0.0000 0.2441 0.7727 [8 per cell]

Results
relative energy among the computed polymorphs = 0.00 eV/f.u.
crystal system = tetragonal
total magnetization = 0.200 μB/atom
DFT total energy = -3.804 eV/atom